Record 1
The following is a DFT calculation (PBE) of a relaxed Dy3SnPd crystal.

It has space group Pnma (No. 62), with a = 5.906 Å, b = 10.655 Å, c = 8.274 Å, α = 90.00°, β = 90.00° and γ = 90.00°. The distinct sites, in fractional coordinates, are Dy at (0.009, 0.098, 0.137), Dy at (0.217, 0.250, 0.717), Sn at (0.000, 0.000, 0.500) and Pd at (0.063, 0.750, 0.584).

The calculation puts the energy relative to the elements at -224 kJ/mol of formula units.

=====

Record 2
The following is a DFT calculation (PBE) of a relaxed Dy8Sn2Pd crystal.

It has space group C2/m (No. 12), with a = 19.135 Å, b = 4.973 Å, c = 6.733 Å, α = 90.00°, β = 103.50° and γ = 90.00°. The distinct sites, in fractional coordinates, are Dy at (0.018, 0.000, 0.277), Dy at (0.092, 0.500, 0.974), Dy at (0.148, 0.500, 0.503), Dy at (0.216, 0.000, 0.822), Sn at (0.183, 0.000, 0.262) and Pd at (0.000, 0.500, 0.500).

The calculation puts the energy relative to the elements at -457 kJ/mol of formula units.

=====

Record 3
The following is a DFT calculation (PBE) of a relaxed DySnPd crystal.

It has space group Imm2 (No. 44), with a = 4.654 Å, b = 21.633 Å, c = 7.985 Å, α = 90.00°, β = 90.00° and γ = 90.00°. The distinct sites, in fractional coordinates, are Dy at (0.000, 0.000, 0.000), Dy at (0.000, 0.165, 0.078), Dy at (0.000, 0.331, 0.003), Dy at (0.000, 0.500, 0.077), Sn at (0.000, 0.097, 0.701), Sn at (0.000, 0.266, 0.379), Sn at (0.000, 0.431, 0.701), Pd at (0.000, 0.074, 0.370), Pd at (0.000, 0.234, 0.708) and Pd at (0.000, 0.398, 0.372).

The calculation puts the energy relative to the elements at -264 kJ/mol of formula units.

=====

Record 4
The following is a DFT calculation (PBE) of a relaxed DySn8Pd2 crystal.

It has space group C2/m (No. 12), with a = 8.679 Å, b = 13.305 Å, c = 4.828 Å, α = 90.00°, β = 99.78° and γ = 90.00°. The distinct sites, in fractional coordinates, are Dy at (0.000, 0.000, 0.000), Sn at (0.000, 0.241, 0.000), Sn at (0.119, 0.500, 0.816), Sn at (0.197, 0.135, 0.588) and Pd at (0.000, 0.331, 0.500).

The calculation puts the energy relative to the elements at -304 kJ/mol of formula units.

=====

Q: Which VASP energy values were calculated for the entries above? A: -25.3, -54.7, -16.5, -50.2, in eV/f.u..